No. 1
Be3W | GGA-PBE | optimized geometry

Cell: 5.097 5.097 3.463 Å, 90.00 90.00 120.00°
Fractional coordinates of all 8 atoms:
Be  0.140  0.280  0.250
Be  0.140  0.860  0.250
Be  0.280  0.140  0.750
Be  0.720  0.860  0.250
Be  0.860  0.140  0.750
Be  0.860  0.720  0.750
W  0.333  0.667  0.750
W  0.667  0.333  0.250

- DOS at the Fermi energy: 0.750 states/eV/f.u.
- Offset from the most stable computed form: 18.19 kJ per mole of atoms
- Formation enthalpy at 0 K: -0.15 eV/f.u.

***

No. 2
YBe17W | GGA-PBE | optimized geometry

Cell: 5.642 5.642 5.642 Å, 83.00 83.00 83.00°
Fractional coordinates of all 19 atoms:
Y  0.000  0.000  0.000
Be  0.047  0.344  0.625
Be  0.047  0.625  0.344
Be  0.183  0.678  0.678
Be  0.248  0.248  0.248
Be  0.342  0.342  0.837
Be  0.342  0.837  0.342
Be  0.344  0.047  0.625
Be  0.344  0.625  0.047
Be  0.441  0.441  0.441
Be  0.503  0.990  0.990
Be  0.625  0.047  0.344
Be  0.625  0.344  0.047
Be  0.678  0.183  0.678
Be  0.678  0.678  0.183
Be  0.837  0.342  0.342
Be  0.990  0.503  0.990
Be  0.990  0.990  0.503
W  0.676  0.676  0.676

- DOS at the Fermi energy: 2.271 states/eV/f.u.
- Formation enthalpy at 0 K: -2.06 eV/f.u.

***

No. 3
YBe3W | GGA-PBE | optimized geometry

Cell: 4.390 4.390 4.390 Å, 90.00 90.00 90.00°
Fractional coordinates of all 5 atoms:
Y  0.000  0.000  0.000
Be  0.000  0.500  0.500
Be  0.500  0.000  0.500
Be  0.500  0.500  0.000
W  0.500  0.500  0.500

- DOS at the Fermi energy: 3.768 states/eV/f.u.
- Offset from the most stable computed form: 0.00 kJ per mole of atoms
- Formation enthalpy at 0 K: 2.92 eV/f.u.

***

No. 4
Y4BeW | GGA-PBE | optimized geometry

Cell: 5.985 5.985 5.985 Å, 60.00 60.00 60.00°
Fractional coordinates of all 6 atoms:
Y  0.376  0.376  0.376
Y  0.376  0.376  0.872
Y  0.376  0.872  0.376
Y  0.872  0.376  0.376
Be  0.000  0.000  0.000
W  0.750  0.750  0.750

- DOS at the Fermi energy: 5.165 states/eV/f.u.
- Formation enthalpy at 0 K: 7.14 eV/f.u.

***

> The lowest DOS at the Fermi energy belongs to which entry?

Be3W

***

Copy entry 2 word for word.
YBe17W | GGA-PBE | optimized geometry

Cell: 5.642 5.642 5.642 Å, 83.00 83.00 83.00°
Fractional coordinates of all 19 atoms:
Y  0.000  0.000  0.000
Be  0.047  0.344  0.625
Be  0.047  0.625  0.344
Be  0.183  0.678  0.678
Be  0.248  0.248  0.248
Be  0.342  0.342  0.837
Be  0.342  0.837  0.342
Be  0.344  0.047  0.625
Be  0.344  0.625  0.047
Be  0.441  0.441  0.441
Be  0.503  0.990  0.990
Be  0.625  0.047  0.344
Be  0.625  0.344  0.047
Be  0.678  0.183  0.678
Be  0.678  0.678  0.183
Be  0.837  0.342  0.342
Be  0.990  0.503  0.990
Be  0.990  0.990  0.503
W  0.676  0.676  0.676

- DOS at the Fermi energy: 2.271 states/eV/f.u.
- Formation enthalpy at 0 K: -2.06 eV/f.u.

***

> Among the records above, which one has the lowest DOS at the Fermi energy?

Be3W